No. 1
This record from the Alexandria database describes an optimized crystal structure of BaIn2Ru. The functional is GGA-PBE.

Unit cell a=5.239 b=5.239 c=5.239 alpha=60.00 beta=60.00 gamma=60.00
Sites, in units of the cell vectors:
Ba 0.000 0.000 0.000
In 0.250 0.250 0.250
In 0.750 0.750 0.750
Ru 0.500 0.500 0.500

## Properties
formation enthalpy at 0 K: 0.32 eV per atom
symmetry: Fm-3m

=====

No. 2
This record from the Alexandria database describes an optimized crystal structure of NaTl8In6. The functional is GGA-PBE.

Unit cell a=7.960 b=7.960 c=7.960 alpha=72.40 beta=72.40 gamma=72.40
Sites, in units of the cell vectors:
Na 0.000 0.000 0.000
Tl 0.065 0.756 0.664
Tl 0.244 0.336 0.935
Tl 0.336 0.935 0.244
Tl 0.408 0.408 0.408
Tl 0.592 0.592 0.592
Tl 0.664 0.065 0.756
Tl 0.756 0.664 0.065
Tl 0.935 0.244 0.336
In 0.023 0.642 0.315
In 0.315 0.023 0.642
In 0.358 0.685 0.977
In 0.642 0.315 0.023
In 0.685 0.977 0.358
In 0.977 0.358 0.685

## Properties
formation enthalpy at 0 K: 0.01 eV per atom
relative energy among the computed polymorphs: 0.00 eV per formula unit
symmetry: R-3

=====

No. 3
This record from the Alexandria database describes an optimized crystal structure of CrCo2Ni5. The functional is GGA-PBE.

Unit cell a=6.635 b=6.635 c=6.635 alpha=125.91 beta=125.91 gamma=80.04
Sites, in units of the cell vectors:
Cr 0.250 0.250 0.000
Cr 0.750 0.750 0.000
Co 0.138 0.638 0.776
Co 0.362 0.138 0.500
Co 0.638 0.862 0.500
Co 0.862 0.362 0.224
Ni 0.000 0.000 0.000
Ni 0.015 0.817 0.500
Ni 0.183 0.683 0.199
Ni 0.317 0.515 0.500
Ni 0.485 0.985 0.801
Ni 0.500 0.500 0.000
Ni 0.515 0.015 0.199
Ni 0.683 0.485 0.500
Ni 0.817 0.317 0.801
Ni 0.985 0.183 0.500

## Properties
formation enthalpy at 0 K: 0.29 eV per atom
relative energy among the computed polymorphs: 2.07 eV per formula unit
symmetry: I4/mcm